# 1
An optimized crystal structure of CuTeI2Br. Source: Alexandria via LeMat-Bulk, functional GGA-PBE.

N(E_F): 3.082 states/eV per cell
Formation energy without anion corrections: 887.0 meV/atom
Calculated total energy: -1.515 eV per atom

Cell lengths 5.8575, 5.8575, 5.6521 Å; angles 90.00, 90.00, 90.00 degrees
Space group P4/mmm (No. 123)
Asymmetric unit:
1 Cu 0.0000 0.0000 0.0000
2 Te 0.5000 0.5000 0.0000
3 I 0.0000 0.5000 0.5000
4 Br 0.5000 0.5000 0.5000

---

# 2
An optimized crystal structure of SeBr. Source: Alexandria via LeMat-Bulk, functional GGA-PBE.

N(E_F): 0.772 states/eV per cell
Formation energy without anion corrections: 24.4 meV/atom
Calculated total energy: -2.554 eV per atom

Cell lengths 3.8688, 3.8688, 26.3992 Å; angles 90.00, 90.00, 120.00 degrees
Space group R-3m (No. 166, hexagonal axes)
Asymmetric unit:
1 Se 0.0000 0.0000 0.1946
2 Br 0.0000 0.0000 0.4004